VASP calculation (GGA-PBE) on a geometry-optimized PuTc2Ru structure.

abc: 4.003 4.003 4.030
angles: 90.00 90.00 90.00
Space group P4/mmm (No. 123)
Unique sites:
Pu1 0.000 0.000 0.000
Tc1 0.000 0.500 0.500
Ru1 0.500 0.500 0.000

Properties
ΔE_f, eV per atom: 0.176
Relative energy among the computed polymorphs, eV/atom: 0.0000

VASP calculation (GGA-PBE) on a geometry-optimized Na2NdRuO4 structure.

abc: 5.533 3.416 5.923
angles: 90.00 109.08 90.00
Space group P2/m (No. 10)
Unique sites:
Na1 0.000 0.000 0.000
Na2 0.500 0.500 0.000
Nd1 0.000 0.500 0.500
Ru1 0.500 0.000 0.500
O1 0.263 0.000 0.728
O2 0.305 0.500 0.299

Properties
Formation energy without anion corrections, meV/atom: -1771

VASP calculation (GGA-PBE) on a geometry-optimized Cs2SiHg2 structure.

abc: 7.510 7.510 7.965
angles: 90.00 90.00 90.00
Space group I4/mmm (No. 139)
Unique sites:
Cs1 0.000 0.500 0.250
Si1 0.000 0.000 0.000
Hg1 0.000 0.000 0.319

Properties
Formation energy without anion corrections, meV/atom: 101
Relative energy among the computed polymorphs, eV/atom: 0.0114

VASP calculation (GGA-PBE) on a geometry-optimized BeTl2Pb structure.

abc: 4.444 4.444 10.674
angles: 90.00 90.00 90.00
Space group I4/mmm (No. 139)
Unique sites:
Be1 0.000 0.000 0.000
Tl1 0.000 0.500 0.250
Pb1 0.000 0.000 0.500

Properties
ΔE_f, eV per atom: 0.535
Relative energy among the computed polymorphs, eV/atom: 0.1942

VASP calculation (GGA-PBE) on a geometry-optimized CrFe2Au structure.

abc: 3.776 3.776 7.572
angles: 90.00 90.00 90.00
Space group I-4m2 (No. 119)
Unique sites:
Cr1 0.000 0.000 0.000
Fe1 0.000 0.000 0.500
Fe2 0.000 0.500 0.250
Au1 0.000 0.500 0.750

Properties
ΔE_f, eV per atom: 0.172

VASP calculation (GGA-PBE) on a geometry-optimized NiMo2W structure.

abc: 4.001 4.001 7.401
angles: 90.00 90.00 90.00
Space group I-4m2 (No. 119)
Unique sites:
Ni1 0.000 0.000 0.000
Mo1 0.000 0.000 0.500
Mo2 0.000 0.500 0.250
W1 0.000 0.500 0.750

Properties
ΔE_f, eV per atom: 0.174
Relative energy among the computed polymorphs, eV/atom: 0.1259

VASP calculation (GGA-PBE) on a geometry-optimized KAl2Ga4Ag structure.

abc: 4.5399 4.5399 30.5460
angles: 90.00 90.00 120.00
Space group R-3m (No. 166, hexagonal axes)
Unique sites:
K1 0.0000 0.0000 0.0000
Al1 0.0000 0.0000 0.2321
Ga1 0.0000 0.0000 0.1301
Ga2 0.0000 0.0000 0.4085
Ag1 0.0000 0.0000 0.5000

Properties
ΔE_f, eV per atom: 0.031

VASP calculation (GGA-PBE) on a geometry-optimized Ce2Zn2NiPt5 structure.

abc: 9.608 9.608 3.808
angles: 90.00 90.00 90.00
Space group P4/mbm (No. 127)
Unique sites:
Ce1 0.179 0.321 0.000
Zn1 0.122 0.622 0.000
Ni1 0.000 0.000 0.000
Pt1 0.000 0.500 0.500
Pt2 0.060 0.800 0.500

Properties
ΔE_f, eV per atom: -0.646

VASP calculation (GGA-PBE) on a geometry-optimized Na3NbN structure.

abc: 6.101 6.101 6.101
angles: 90.00 90.00 90.00
Space group Pm-3m (No. 221)
Unique sites:
Na1 0.000 0.000 0.500
Nb1 0.000 0.000 0.000
N1 0.500 0.500 0.500

Properties
Formation energy without anion corrections, meV/atom: 2060
Relative energy among the computed polymorphs, eV/atom: 0.6606

VASP calculation (GGA-PBE) on a geometry-optimized LuMgZrRh structure.

abc: 6.880 6.880 6.880
angles: 90.00 90.00 90.00
Space group F-43m (No. 216)
Unique sites:
Lu1 0.000 0.000 0.000
Mg1 0.250 0.250 0.250
Zr1 0.000 0.000 0.500
Rh1 0.250 0.250 0.750

Properties
ΔE_f, eV per atom: -0.339

no.,VASP energy (eV/atom)
1,-10.91
2,-6.34
3,-1.45
4,-2.51
5,-7.28
6,-9.92
7,-2.91
8,-5.69
9,-2.41
10,-5.84